## CuPtRh2 (GGA-PBE)

Data for a relaxed CuPtRh2 crystal.

## Properties
Uncorrected energy: -6.0511 eV per atom
Total magnetic moment: 0.0 μB per formula unit
Relative energy among the computed polymorphs: 4.64 kcal/mol of atoms
Density of states at the Fermi level: 6.4 states/eV/cell
Space-group type: No. 216
Formation energy: 61.3 kJ/mol of formula units

Cell: 4.333 4.333 4.333 Å, 60.00 60.00 60.00°
Atoms (fractional coordinates):
Rh 0.000 0.000 0.000
Rh 0.250 0.250 0.250
Pt 0.500 0.500 0.500
Cu 0.750 0.750 0.750

## Cu5PtRh (GGA-PBE)

Data for a relaxed Cu5PtRh crystal.

## Properties
Uncorrected energy: -4.7004 eV per atom
Total magnetic moment: 0.0 μB per formula unit
Density of states at the Fermi level: 4.8 states/eV/cell
Space-group type: No. 65
Formation energy: 93.6 kJ/mol of formula units

Cell: 4.435 4.435 5.248 Å, 90.01 90.01 107.01°
Atoms (fractional coordinates):
Cu 0.000 0.500 0.247
Cu 0.000 0.500 0.753
Rh 0.500 0.500 0.500
Cu 0.500 0.000 0.753
Cu 0.500 0.000 0.247
Pt 0.000 0.000 0.000
Cu 0.000 0.000 0.500

## Cu2Pt2Rh15 (GGA-PBE)

Data for a relaxed Cu2Pt2Rh15 crystal.

## Properties
Uncorrected energy: -6.4894 eV per atom
Total magnetic moment: 0.0 μB per formula unit
Density of states at the Fermi level: 35.9 states/eV/cell
Space-group type: No. 166
Formation energy: 699.1 kJ/mol of formula units

Cell: 6.747 6.747 6.747 Å, 80.68 80.68 80.68°
Atoms (fractional coordinates):
Rh 0.305 0.000 0.695
Rh 0.695 0.305 0.000
Rh 0.305 0.695 0.000
Rh 0.500 0.000 0.000
Rh 0.358 0.844 0.358
Rh 0.000 0.500 0.000
Rh 0.156 0.642 0.642
Rh 0.695 0.000 0.305
Rh 0.000 0.000 0.500
Rh 0.000 0.695 0.305
Rh 0.642 0.642 0.156
Cu 0.911 0.911 0.911
Pt 0.282 0.282 0.282
Rh 0.000 0.305 0.695
Rh 0.844 0.358 0.358
Cu 0.089 0.089 0.089
Pt 0.718 0.718 0.718
Rh 0.358 0.358 0.844
Rh 0.642 0.156 0.642

## CuPt2Rh4 (GGA-PBE)

Data for a relaxed CuPt2Rh4 crystal.

## Properties
Uncorrected energy: -6.1806 eV per atom
Total magnetic moment: 0.0 μB per formula unit
Density of states at the Fermi level: 26.3 states/eV/cell
Space-group type: No. 122
Formation energy: 223.8 kJ/mol of formula units

Cell: 6.563 6.563 6.563 Å, 109.40 109.62 109.40°
Atoms (fractional coordinates):
Rh 0.632 0.751 0.049
Rh 0.799 0.251 0.882
Rh 0.951 0.583 0.701
Pt 0.375 0.871 0.746
Rh 0.451 0.083 0.201
Rh 0.299 0.249 0.881
Rh 0.631 0.749 0.549
Rh 0.119 0.417 0.368
Cu 0.000 0.000 0.000
Pt 0.254 0.629 0.125
Cu 0.750 0.500 0.250
Pt 0.496 0.371 0.625
Pt 0.875 0.129 0.504
Rh 0.118 0.917 0.369

## CuPtRh3 (GGA-PBE)

Data for a relaxed CuPtRh3 crystal.

## Properties
Uncorrected energy: -5.1680 eV per atom
Total magnetic moment: 3.0 μB per formula unit
Relative energy among the computed polymorphs: 0.00 kcal/mol of atoms
Density of states at the Fermi level: 8.9 states/eV/cell
Space-group type: No. 221
Formation energy: 612.8 kJ/mol of formula units

Cell: 4.437 4.437 4.437 Å, 90.00 90.00 90.00°
Each line ends with the local moment (μB).
Atoms (fractional coordinates):
Pt 0.500 0.500 0.500  0.48
Cu 0.000 0.000 0.000  0.07
Rh 0.500 0.000 0.000  0.85
Rh 0.000 0.500 0.000  0.81
Rh 0.000 0.000 0.500  0.88

## Cu2Pt4Rh3 (GGA-PBE)

Data for a relaxed Cu2Pt4Rh3 crystal.

## Properties
Uncorrected energy: -6.1014 eV per atom
Total magnetic moment: 0.0 μB per formula unit
Density of states at the Fermi level: 12.0 states/eV/cell
Space-group type: No. 12
Formation energy: -48.5 kJ/mol of formula units

Cell: 3.859 4.726 8.232 Å, 73.45 90.02 65.91°
Atoms (fractional coordinates):
Rh 0.334 0.332 0.450
Pt 0.001 0.998 0.331
Pt 0.999 0.002 0.669
Rh 0.666 0.668 0.550
Cu 0.669 0.662 0.223
Pt 0.334 0.331 0.111
Pt 0.666 0.669 0.889
Cu 0.331 0.338 0.777
Rh 0.000 0.000 0.000

## CuPtRh (GGA-PBE)

Data for a relaxed CuPtRh crystal.

## Properties
Uncorrected energy: -5.8376 eV per atom
Total magnetic moment: 0.0 μB per formula unit
Relative energy among the computed polymorphs: 0.96 kcal/mol of atoms
Density of states at the Fermi level: 5.1 states/eV/cell
Space-group type: No. 107
Formation energy: -2.4 kJ/mol of formula units

Cell: 5.941 5.941 5.941 Å, 153.32 153.32 38.09°
Atoms (fractional coordinates):
Pt 0.336 0.336 0.000
Cu 0.001 0.001 0.000
Rh 0.662 0.662 0.000

## CuPt3Rh (GGA-PBE)

Data for a relaxed CuPt3Rh crystal.

## Properties
Uncorrected energy: -4.4348 eV per atom
Total magnetic moment: 2.0 μB per formula unit
Relative energy among the computed polymorphs: 34.70 kcal/mol of atoms
Density of states at the Fermi level: 7.3 states/eV/cell
Space-group type: No. 221
Formation energy: 713.6 kJ/mol of formula units

Cell: 4.812 4.812 4.812 Å, 90.00 90.00 90.00°
Each line ends with the local moment (μB).
Atoms (fractional coordinates):
Pt 0.500 0.000 0.000  0.10
Rh 0.000 0.000 0.000  0.96
Pt 0.000 0.500 0.000  0.26
Pt 0.000 0.000 0.500  0.61
Cu 0.500 0.500 0.500  0.00

## CuPtRh2 (GGA-PBE)

Data for a relaxed CuPtRh2 crystal.

## Properties
Uncorrected energy: -6.2116 eV per atom
Total magnetic moment: 0.0 μB per formula unit
Relative energy among the computed polymorphs: 0.94 kcal/mol of atoms
Density of states at the Fermi level: 6.3 states/eV/cell
Space-group type: No. 123
Formation energy: -0.6 kJ/mol of formula units

Cell: 3.887 3.816 3.816 Å, 90.00 90.00 90.00°
Atoms (fractional coordinates):
Rh 0.000 0.000 0.000
Cu 0.500 0.500 0.000
Pt 0.500 0.000 0.500
Rh 0.000 0.500 0.500

## CuPtRh2 (GGA-PBE)

Data for a relaxed CuPtRh2 crystal.

## Properties
Uncorrected energy: -6.2182 eV per atom
Total magnetic moment: 0.0 μB per formula unit
Relative energy among the computed polymorphs: 0.79 kcal/mol of atoms
Density of states at the Fermi level: 5.0 states/eV/cell
Space-group type: No. 12
Formation energy: -3.2 kJ/mol of formula units

Cell: 4.706 4.706 4.672 Å, 80.18 80.18 33.78°
Atoms (fractional coordinates):
Rh 0.500 0.500 0.503
Cu 0.750 0.750 0.750
Rh 0.000 0.000 0.997
Pt 0.250 0.250 0.250

## CuPtRh2 (GGA-PBE)

Data for a relaxed CuPtRh2 crystal.

## Properties
Uncorrected energy: -6.2284 eV per atom
Total magnetic moment: 0.0 μB per formula unit
Relative energy among the computed polymorphs: 0.55 kcal/mol of atoms
Density of states at the Fermi level: 4.9 states/eV/cell
Space-group type: No. 99
Formation energy: -7.1 kJ/mol of formula units

Cell: 2.744 2.744 7.507 Å, 90.00 90.00 90.00°
Atoms (fractional coordinates):
Cu 0.000 0.000 0.496
Rh 0.000 0.000 0.009
Rh 0.500 0.500 0.252
Pt 0.500 0.500 0.743

## CuPt12Rh3 (GGA-PBE)

Data for a relaxed CuPt12Rh3 crystal.

## Properties
Uncorrected energy: -6.2092 eV per atom
Total magnetic moment: 0.0 μB per formula unit
Density of states at the Fermi level: 28.8 states/eV/cell
Space-group type: No. 123
Formation energy: -68.3 kJ/mol of formula units

Cell: 3.929 3.929 15.788 Å, 90.00 90.00 90.00°
Atoms (fractional coordinates):
Pt 0.000 0.500 0.626
Pt 0.000 0.500 0.374
Rh 0.000 0.000 0.250
Pt 0.500 0.500 0.247
Pt 0.500 0.500 0.000
Pt 0.000 0.500 0.878
Pt 0.500 0.000 0.374
Pt 0.500 0.500 0.753
Pt 0.000 0.500 0.122
Pt 0.500 0.000 0.878
Pt 0.500 0.000 0.122
Cu 0.000 0.000 0.000
Rh 0.000 0.000 0.750
Pt 0.500 0.000 0.626
Pt 0.500 0.500 0.500
Rh 0.000 0.000 0.500